No. 1
# GGA-PBE Cd2GaSi2Pd5, relaxed
# density: 9018 kg/m3
# formation energy from raw total energies: -437.8 meV/atom
# calculated total energy: -4.60 eV/atom
data_Cd2GaSi2Pd5
_chemical_formula_sum 'Cd4 Ga2 Si4 Pd10'
_cell_length_a 9.864
_cell_length_b 9.864
_cell_length_c 3.341
_cell_angle_alpha 90.00
_cell_angle_beta 90.00
_cell_angle_gamma 90.00
_space_group_name_H-M_alt 'P 4/m b m'
_space_group_IT_number 127
_space_group_name_Hall '-P 4 2ab'
loop_
_atom_site_label
_atom_site_fract_x
_atom_site_fract_y
_atom_site_fract_z
Cd1 0.173 0.327 0.000
Ga1 0.000 0.000 0.000
Si1 0.130 0.630 0.000
Pd1 0.000 0.500 0.500
Pd2 0.067 0.798 0.500



No. 2
# GGA-PBE Sm2CdGa2Pd5, relaxed
# density: 9503 kg/m3
# calculated total energy: -4.92 eV/atom
# ΔE_f: -0.682 eV/atom
data_Sm2CdGa2Pd5
_chemical_formula_sum 'Sm4 Cd2 Ga4 Pd10'
_cell_length_a 10.041
_cell_length_b 10.041
_cell_length_c 3.760
_cell_angle_alpha 90.00
_cell_angle_beta 90.00
_cell_angle_gamma 90.00
_space_group_name_H-M_alt 'P 4/m b m'
_space_group_IT_number 127
_space_group_name_Hall '-P 4 2ab'
loop_
_atom_site_label
_atom_site_fract_x
_atom_site_fract_y
_atom_site_fract_z
Sm1 0.177 0.323 0.000
Cd1 0.000 0.000 0.000
Ga1 0.121 0.621 0.000
Pd1 0.000 0.500 0.500
Pd2 0.064 0.788 0.500



No. 3
# GGA-PBE SmCd2GaPd2, relaxed
# density: 7436 kg/m3
# calculated total energy: -3.54 eV/atom
# ΔE_f: -0.212 eV/atom
data_SmCd2GaPd2
_chemical_formula_sum 'Sm2 Cd4 Ga2 Pd4'
_cell_length_a 5.306
_cell_length_b 5.306
_cell_length_c 10.435
_cell_angle_alpha 90.00
_cell_angle_beta 90.00
_cell_angle_gamma 90.00
_space_group_name_H-M_alt 'I 4/m m m'
_space_group_IT_number 139
_space_group_name_Hall '-I 4 2'
loop_
_atom_site_label
_atom_site_fract_x
_atom_site_fract_y
_atom_site_fract_z
Sm1 0.000 0.000 0.000
Cd1 0.000 0.500 0.250
Ga1 0.000 0.000 0.500
Pd1 0.000 0.000 0.271



No. 4
# GGA-PBE Sm2CdGa4Pd3, relaxed
# density: 8471 kg/m3
# calculated total energy: -4.50 eV/atom
# ΔE_f: -0.692 eV/atom
data_Sm2CdGa4Pd3
_chemical_formula_sum 'Sm2 Cd1 Ga4 Pd3'
_cell_length_a 4.265
_cell_length_b 4.265
_cell_length_c 10.899
_cell_angle_alpha 90.00
_cell_angle_beta 90.00
_cell_angle_gamma 90.00
_space_group_name_H-M_alt 'P -4 m 2'
_space_group_IT_number 115
loop_
_space_group_symop_operation_xyz
'x,y,z'
'y,-x,-z'
'-x,-y,z'
'-y,x,-z'
'-x,y,z'
'-y,-x,-z'
'x,-y,z'
'y,x,-z'
loop_
_atom_site_label
_atom_site_fract_x
_atom_site_fract_y
_atom_site_fract_z
Sm1 0.000 0.500 0.235
Cd1 0.000 0.000 0.500
Ga1 0.000 0.000 0.000
Ga2 0.000 0.500 0.646
Ga3 0.500 0.500 0.000
Pd1 0.000 0.500 0.872
Pd2 0.500 0.500 0.500



No. 5
# GGA-PBE SmCdGa2Pd2, relaxed
# density: 8808 kg/m3
# calculated total energy: -4.31 eV/atom
# ΔE_f: -0.634 eV/atom
data_SmCdGa2Pd2
_chemical_formula_sum 'Sm1 Cd1 Ga2 Pd2'
_cell_length_a 4.4630
_cell_length_b 4.4630
_cell_length_c 6.7224
_cell_angle_alpha 90.00
_cell_angle_beta 90.00
_cell_angle_gamma 120.00
_space_group_name_H-M_alt 'P -3 m 1'
_space_group_IT_number 164
_space_group_name_Hall '-P 3 2"'
loop_
_atom_site_label
_atom_site_fract_x
_atom_site_fract_y
_atom_site_fract_z
Sm1 0.0000 0.0000 0.0000
Cd1 0.0000 0.0000 0.5000
Ga1 0.3333 0.6667 0.7278
Pd1 0.3333 0.6667 0.3051



No. 6
# GGA-PBE CdGa2Sn2Pd5, relaxed
# density: 9436 kg/m3
# calculated total energy: -4.50 eV/atom
# ΔE_f: -0.407 eV/atom
data_CdGa2Sn2Pd5
_chemical_formula_sum 'Cd2 Ga4 Sn4 Pd10'
_cell_length_a 10.109
_cell_length_b 10.109
_cell_length_c 3.518
_cell_angle_alpha 90.00
_cell_angle_beta 90.00
_cell_angle_gamma 90.00
_space_group_name_H-M_alt 'P 4/m b m'
_space_group_IT_number 127
_space_group_name_Hall '-P 4 2ab'
loop_
_atom_site_label
_atom_site_fract_x
_atom_site_fract_y
_atom_site_fract_z
Cd1 0.000 0.000 0.000
Ga1 0.139 0.361 0.000
Sn1 0.170 0.670 0.000
Pd1 0.000 0.500 0.500
Pd2 0.013 0.216 0.500



What is the formula in the fifth record?
SmCdGa2Pd2